Entry 1:
This record from the Alexandria database describes an optimized crystal structure of Y4HfRh5. The functional is GGA-PBE.

POSCAR file:
```
Y4HfRh5
1.0
-2.885 0.235 -1.711
-1.688 -1.083 2.699
-1.881 16.484 5.437
Rh Hf Y
5 1 4
direct
0.500 0.500 0.914
0.500 0.500 0.296
0.500 0.500 0.500
0.500 0.500 0.086
0.500 0.500 0.704
0.000 0.000 0.000
0.000 0.000 0.804
0.000 0.000 0.196
0.000 0.000 0.602
0.000 0.000 0.398
```

Results
Calculated total energy: -8.1110 eV/atom
Space group: P4/mmm
Total magnetization: 0.00 Bohr magnetons per cell
Formation energy from the elements: -0.85 eV per atom

Entry 2:
This record from the Alexandria database describes an optimized crystal structure of PmNd3ErTm. The functional is GGA-PBE.

POSCAR file:
```
PmNd3ErTm
1.0
5.088 0.000 0.000
-2.544 7.669 0.000
0.000 0.000 10.262
Nd Pm Er Tm
6 2 2 2
direct
0.167 0.334 0.750
0.665 0.330 0.499
0.335 0.670 0.999
0.665 0.330 0.001
0.833 0.666 0.250
0.335 0.670 0.501
0.498 0.996 0.750
0.502 0.004 0.250
0.000 0.000 0.000
0.000 0.000 0.500
0.166 0.332 0.250
0.834 0.668 0.750
```

Results
Calculated total energy: -4.6639 eV/atom
Space group: Cmcm
Total magnetization: 0.00 Bohr magnetons per cell
Formation energy from the elements: 0.02 eV per atom

- Look up the calculated total energy of the first one.
  -8.1110 eV/atom